Record 1
First-principles (PBE) data for a relaxed structure of ZrIn2AgSb, as listed in the Alexandria database.

a b c (Å): 5.584 5.064 5.584
angles (deg): 90.00 90.00 90.00
Element x y z (fractional)
Sb  0.000  0.000  0.000
Ag  0.000  0.500  0.000
In  0.500  0.000  0.000
Zr  0.500  0.500  0.500
In  0.000  0.000  0.500

Calculated values
Density in g cm⁻³: 5.79
Calculated volume in Å³/atom: 31.580
Uncorrected formation energy in eV per atom: 0.9245
Space-group type: P4/mmm (123)


Record 2
First-principles (PBE) data for a relaxed structure of Ta2N3F, as listed in the Alexandria database.

a b c (Å): 5.423 5.423 2.799
angles (deg): 90.00 90.00 120.00
Element x y z (fractional)
Ta  0.667  0.333  0.500
F  0.000  0.000  0.000
N  0.500  0.500  0.000
N  0.500  0.000  0.000
Ta  0.333  0.667  0.500
N  0.000  0.500  0.000

Calculated values
Density in g cm⁻³: 9.85
Calculated volume in Å³/atom: 11.881
Uncorrected formation energy in eV per atom: -0.9341
Space-group type: P6/mmm (191)


Record 3
First-principles (PBE) data for a relaxed structure of KBaNa14, as listed in the Alexandria database.

a b c (Å): 8.145 8.145 9.913
angles (deg): 90.00 90.00 89.98
Element x y z (fractional)
Na  0.875  0.375  0.000
Na  0.624  0.624  0.222
Na  0.624  0.126  0.778
Na  0.126  0.624  0.222
Na  0.126  0.624  0.778
Na  0.875  0.875  0.000
Na  0.126  0.126  0.778
Na  0.624  0.624  0.778
Ba  0.875  0.875  0.500
Na  0.375  0.875  0.500
Na  0.875  0.375  0.500
K  0.375  0.375  0.500
Na  0.375  0.375  0.000
Na  0.375  0.875  0.000
Na  0.126  0.126  0.222
Na  0.624  0.126  0.222

Calculated values
Density in g cm⁻³: 1.26
Calculated volume in Å³/atom: 41.103
Energy of formation from the pure elements in eV/f.u.: 0.45
Space-group type: P4/mmm (123)


Record 4
First-principles (PBE) data for a relaxed structure of ScPt3Se, as listed in the Alexandria database.

a b c (Å): 4.701 4.701 4.701
angles (deg): 90.00 90.00 90.00
Element x y z (fractional)
Se  0.000  0.000  0.000
Pt  0.500  0.000  0.000
Sc  0.500  0.500  0.500
Pt  0.000  0.000  0.500
Pt  0.000  0.500  0.000

Calculated values
Density in g cm⁻³: 11.34
Calculated volume in Å³/atom: 20.774
Uncorrected formation energy in eV per atom: 0.0373
Space-group type: Pm-3m (221)


Record 5
First-principles (PBE) data for a relaxed structure of Y3Hg, as listed in the Alexandria database.

a b c (Å): 7.019 10.110 6.742
angles (deg): 90.00 90.00 90.00
Element x y z (fractional)
Hg  0.910  0.250  0.449
Y  0.195  0.456  0.311
Y  0.305  0.956  0.811
Y  0.997  0.250  0.887
Y  0.003  0.750  0.113
Hg  0.090  0.750  0.551
Hg  0.410  0.250  0.051
Y  0.503  0.750  0.387
Y  0.695  0.456  0.189
Y  0.497  0.250  0.613
Y  0.805  0.956  0.689
Y  0.695  0.044  0.189
Hg  0.590  0.750  0.949
Y  0.805  0.544  0.689
Y  0.305  0.544  0.811
Y  0.195  0.044  0.311

Calculated values
Density in g cm⁻³: 6.49
Calculated volume in Å³/atom: 29.901
Energy of formation from the pure elements in eV/f.u.: -0.95
Space-group type: Pnma (62)


Record 6
First-principles (PBE) data for a relaxed structure of Ca2NdPuS4, as listed in the Alexandria database.

a b c (Å): 4.020 6.958 7.026
angles (deg): 109.38 90.00 90.00
Element x y z (fractional)
S  0.000  0.754  0.254
Nd  0.500  0.500  0.000
S  0.500  0.246  0.250
S  0.500  0.754  0.750
Ca  0.000  0.500  0.500
Ca  0.500  0.000  0.500
Pu  0.000  0.000  0.000
S  0.000  0.246  0.746

Calculated values
Density in g cm⁻³: 5.34
Calculated volume in Å³/atom: 23.174
Uncorrected formation energy in eV per atom: -1.9739
Space-group type: P2/m (10)


| no. | DOS(E_F) (states/eV/atom) | magnetization (μB/cell) |
| --- | --- | --- |
| 1 | 1.20 | 1.415 |
| 2 | 0.60 | 0.266 |
| 3 | 0.56 | 0.000 |
| 4 | 0.63 | 0.000 |
| 5 | 1.06 | 0.001 |
| 6 | 1.50 | 5.892 |